Entry 1:
This record from Alexandria describes crystalline SmPd3Pb3 at its relaxed geometry. The functional is PBE.

Results
- Fermi-level density of states: 11.20 states/eV per cell
- SG: Pm-3n, No. 223
- VASP energy: -60.95 eV/cell
- Spin magnetization: 0.00 μB/f.u.

Geometry as CIF:
```
data_SmPd3Pb3
_chemical_formula_sum 'Sm2 Pd6 Pb6'
_space_group_name_H-M_alt 'P 1'
_space_group_IT_number 1
_cell_length_a 7.455
_cell_length_b 7.455
_cell_length_c 7.455
_cell_angle_alpha 90.00
_cell_angle_beta 90.00
_cell_angle_gamma 90.00
loop_
_space_group_symop_operation_xyz
'x,y,z'
loop_
_atom_site_label
_atom_site_type_symbol
_atom_site_fract_x
_atom_site_fract_y
_atom_site_fract_z
Pd1 Pd 0.000 0.500 0.750
Pd2 Pd 0.500 0.750 0.000
Pd3 Pd 0.250 0.000 0.500
Pd4 Pd 0.000 0.500 0.250
Pd5 Pd 0.500 0.250 0.000
Pd6 Pd 0.750 0.000 0.500
Pb1 Pb 0.250 0.500 0.000
Pb2 Pb 0.000 0.250 0.500
Pb3 Pb 0.500 0.000 0.250
Pb4 Pb 0.750 0.500 0.000
Pb5 Pb 0.000 0.750 0.500
Pb6 Pb 0.500 0.000 0.750
Sm1 Sm 0.000 0.000 0.000
Sm2 Sm 0.500 0.500 0.500
```

---

Entry 2:
This record from Alexandria describes crystalline CoTc2Ge2 at its relaxed geometry. The functional is PBE.

Results
- Fermi-level density of states: 7.78 states/eV per cell
- SG: I4/mmm, No. 139
- Spin magnetization: 1.89 μB/f.u.
- Energy above the lowest structure with this stoichiometry: 474.5 meV per atom

Geometry as CIF:
```
data_CoTc2Ge2
_chemical_formula_sum 'Co1 Tc2 Ge2'
_space_group_name_H-M_alt 'P 1'
_space_group_IT_number 1
_cell_length_a 3.910
_cell_length_b 3.910
_cell_length_c 6.075
_cell_angle_alpha 71.23
_cell_angle_beta 71.23
_cell_angle_gamma 90.00
loop_
_space_group_symop_operation_xyz
'x,y,z'
loop_
_atom_site_label
_atom_site_type_symbol
_atom_site_fract_x
_atom_site_fract_y
_atom_site_fract_z
Co1 Co 0.000 0.000 0.000
Ge1 Ge 0.392 0.392 0.215
Ge2 Ge 0.608 0.608 0.785
Tc1 Tc 0.750 0.250 0.500
Tc2 Tc 0.250 0.750 0.500
```

---

Entry 3:
This record from Alexandria describes crystalline Zr3HgC at its relaxed geometry. The functional is PBE.

Results
- Fermi-level density of states: 10.49 states/eV per cell
- SG: Fd-3m, No. 227
- Spin magnetization: 0.00 μB/f.u.
- Energy above the lowest structure with this stoichiometry: 369.3 meV per atom

Geometry as CIF:
```
data_Zr3HgC
_chemical_formula_sum 'Zr12 Hg4 C4'
_space_group_name_H-M_alt 'P 1'
_space_group_IT_number 1
_cell_length_a 8.561
_cell_length_b 8.561
_cell_length_c 8.561
_cell_angle_alpha 60.00
_cell_angle_beta 60.00
_cell_angle_gamma 60.00
loop_
_space_group_symop_operation_xyz
'x,y,z'
loop_
_atom_site_label
_atom_site_type_symbol
_atom_site_fract_x
_atom_site_fract_y
_atom_site_fract_z
C1 C 0.125 0.625 0.125
C2 C 0.625 0.125 0.125
C3 C 0.125 0.125 0.125
C4 C 0.125 0.125 0.625
Zr1 Zr 0.060 0.440 0.060
Zr2 Zr 0.440 0.440 0.060
Zr3 Zr 0.810 0.190 0.190
Zr4 Zr 0.190 0.190 0.810
Zr5 Zr 0.440 0.060 0.440
Zr6 Zr 0.190 0.810 0.190
Zr7 Zr 0.060 0.440 0.440
Zr8 Zr 0.190 0.810 0.810
Zr9 Zr 0.060 0.060 0.440
Zr10 Zr 0.810 0.810 0.190
Zr11 Zr 0.810 0.190 0.810
Zr12 Zr 0.440 0.060 0.060
Hg1 Hg 0.625 0.125 0.625
Hg2 Hg 0.625 0.625 0.625
Hg3 Hg 0.125 0.625 0.625
Hg4 Hg 0.625 0.625 0.125
```

---

Entry 4:
This record from Alexandria describes crystalline Sc3AlIn at its relaxed geometry. The functional is PBE.

Results
- Fermi-level density of states: 9.89 states/eV per cell
- SG: P6_3/mmc, No. 194
- Spin magnetization: 0.00 μB/f.u.
- Energy above the lowest structure with this stoichiometry: 212.9 meV per atom

Geometry as CIF:
```
data_Sc3AlIn
_chemical_formula_sum 'Sc6 Al2 In2'
_space_group_name_H-M_alt 'P 1'
_space_group_IT_number 1
_cell_length_a 5.120
_cell_length_b 7.330
_cell_length_c 7.330
_cell_angle_alpha 120.01
_cell_angle_beta 90.00
_cell_angle_gamma 90.00
loop_
_space_group_symop_operation_xyz
'x,y,z'
loop_
_atom_site_label
_atom_site_type_symbol
_atom_site_fract_x
_atom_site_fract_y
_atom_site_fract_z
Sc1 Sc 0.250 0.385 0.192
Sc2 Sc 0.750 0.192 0.385
Sc3 Sc 0.750 0.615 0.808
Sc4 Sc 0.250 0.808 0.615
Sc5 Sc 0.750 0.192 0.808
Sc6 Sc 0.250 0.808 0.192
Al1 Al 0.000 0.000 0.000
Al2 Al 0.500 0.000 0.000
In1 In 0.250 0.333 0.667
In2 In 0.750 0.667 0.333
```

---

Entry 5:
This record from Alexandria describes crystalline TcPt2Br at its relaxed geometry. The functional is PBE.

Results
- Fermi-level density of states: 2.58 states/eV per cell
- SG: P4mm, No. 99
- Spin magnetization: 0.00 μB/f.u.
- Uncorrected formation energy: 0.370 eV per atom
- Energy above the lowest structure with this stoichiometry: 159.4 meV per atom

Geometry as CIF:
```
data_TcPt2Br
_chemical_formula_sum 'Tc1 Pt2 Br1'
_space_group_name_H-M_alt 'P 1'
_space_group_IT_number 1
_cell_length_a 2.924
_cell_length_b 2.924
_cell_length_c 8.238
_cell_angle_alpha 90.00
_cell_angle_beta 90.00
_cell_angle_gamma 90.00
loop_
_space_group_symop_operation_xyz
'x,y,z'
loop_
_atom_site_label
_atom_site_type_symbol
_atom_site_fract_x
_atom_site_fract_y
_atom_site_fract_z
Pt1 Pt 0.500 0.500 0.276
Pt2 Pt 0.000 0.000 0.044
Br1 Br 0.500 0.500 0.696
Tc1 Tc 0.000 0.000 0.484
```

---

Entry 6:
This record from Alexandria describes crystalline Li5Zn6Cd at its relaxed geometry. The functional is PBE.

Results
- Fermi-level density of states: 3.61 states/eV per cell
- SG: C2/m, No. 12
- VASP energy: -19.86 eV/cell
- Spin magnetization: 0.00 μB/f.u.

Geometry as CIF:
```
data_Li5Zn6Cd
_chemical_formula_sum 'Li5 Zn6 Cd1'
_space_group_name_H-M_alt 'P 1'
_space_group_IT_number 1
_cell_length_a 3.926
_cell_length_b 7.334
_cell_length_c 7.334
_cell_angle_alpha 101.08
_cell_angle_beta 105.68
_cell_angle_gamma 105.68
loop_
_space_group_symop_operation_xyz
'x,y,z'
loop_
_atom_site_label
_atom_site_type_symbol
_atom_site_fract_x
_atom_site_fract_y
_atom_site_fract_z
Cd1 Cd 0.000 0.000 0.000
Zn1 Zn 0.255 0.086 0.425
Zn2 Zn 0.239 0.740 0.740
Zn3 Zn 0.745 0.914 0.575
Zn4 Zn 0.745 0.575 0.914
Zn5 Zn 0.761 0.260 0.260
Zn6 Zn 0.255 0.425 0.086
Li1 Li 0.000 0.666 0.334
Li2 Li 0.500 0.170 0.830
Li3 Li 0.500 0.500 0.500
Li4 Li 0.000 0.334 0.666
Li5 Li 0.500 0.830 0.170
```

---

Entry 7:
This record from Alexandria describes crystalline Pm2Y8Zr at its relaxed geometry. The functional is PBE.

Results
- Fermi-level density of states: 15.10 states/eV per cell
- SG: C2/m, No. 12
- VASP energy: -69.24 eV/cell
- Spin magnetization: 0.00 μB/f.u.

Geometry as CIF:
```
data_Pm2Y8Zr
_chemical_formula_sum 'Pm2 Y8 Zr1'
_space_group_name_H-M_alt 'P 1'
_space_group_IT_number 1
_cell_length_a 5.004
_cell_length_b 7.936
_cell_length_c 9.388
_cell_angle_alpha 104.53
_cell_angle_beta 105.46
_cell_angle_gamma 90.00
loop_
_space_group_symop_operation_xyz
'x,y,z'
loop_
_atom_site_label
_atom_site_type_symbol
_atom_site_fract_x
_atom_site_fract_y
_atom_site_fract_z
Pm1 Pm 0.226 0.634 0.453
Pm2 Pm 0.774 0.366 0.547
Y1 Y 0.044 0.738 0.088
Y2 Y 0.956 0.262 0.912
Y3 Y 0.869 0.827 0.739
Y4 Y 0.131 0.173 0.261
Y5 Y 0.678 0.910 0.356
Y6 Y 0.322 0.090 0.644
Y7 Y 0.412 0.558 0.823
Y8 Y 0.588 0.442 0.177
Zr1 Zr 0.500 0.000 0.000
```

---

Entry 8:
This record from Alexandria describes crystalline LiGaBr4 at its relaxed geometry. The functional is PBE.

Results
- Fermi-level density of states: 0.00 states/eV per cell
- SG: P2_1/c, No. 14
- Spin magnetization: 0.00 μB/f.u.
- Uncorrected formation energy: -1.083 eV per atom
- Energy above the lowest structure with this stoichiometry: 0.5 meV per atom

Geometry as CIF:
```
data_LiGaBr4
_chemical_formula_sum 'Li4 Ga4 Br16'
_space_group_name_H-M_alt 'P 1'
_space_group_IT_number 1
_cell_length_a 7.052
_cell_length_b 7.921
_cell_length_c 16.238
_cell_angle_alpha 79.59
_cell_angle_beta 90.00
_cell_angle_gamma 90.00
loop_
_space_group_symop_operation_xyz
'x,y,z'
loop_
_atom_site_label
_atom_site_type_symbol
_atom_site_fract_x
_atom_site_fract_y
_atom_site_fract_z
Li1 Li 0.607 0.217 0.084
Li2 Li 0.893 0.217 0.584
Li3 Li 0.107 0.783 0.416
Li4 Li 0.393 0.783 0.916
Br1 Br 0.769 0.445 0.667
Br2 Br 0.248 0.229 0.046
Br3 Br 0.752 0.771 0.954
Br4 Br 0.204 0.720 0.572
Br5 Br 0.269 0.555 0.833
Br6 Br 0.796 0.280 0.428
Br7 Br 0.296 0.720 0.072
Br8 Br 0.775 0.928 0.670
Br9 Br 0.731 0.445 0.167
Br10 Br 0.252 0.229 0.546
Br11 Br 0.275 0.072 0.830
Br12 Br 0.225 0.072 0.330
Br13 Br 0.231 0.555 0.333
Br14 Br 0.725 0.928 0.170
Br15 Br 0.704 0.280 0.928
Br16 Br 0.748 0.771 0.454
Ga1 Ga 0.129 0.285 0.407
Ga2 Ga 0.871 0.715 0.593
Ga3 Ga 0.629 0.715 0.093
Ga4 Ga 0.371 0.285 0.907
```

---

Entry 9:
This record from Alexandria describes crystalline LaNi2S at its relaxed geometry. The functional is PBE.

Results
- Fermi-level density of states: 14.84 states/eV per cell
- SG: Ima2, No. 46
- Spin magnetization: 0.00 μB/f.u.
- Uncorrected formation energy: -0.807 eV per atom

Geometry as CIF:
```
data_LaNi2S
_chemical_formula_sum 'La4 Ni8 S4'
_space_group_name_H-M_alt 'P 1'
_space_group_IT_number 1
_cell_length_a 4.738
_cell_length_b 8.239
_cell_length_c 7.180
_cell_angle_alpha 90.00
_cell_angle_beta 90.00
_cell_angle_gamma 90.00
loop_
_space_group_symop_operation_xyz
'x,y,z'
loop_
_atom_site_label
_atom_site_type_symbol
_atom_site_fract_x
_atom_site_fract_y
_atom_site_fract_z
La1 La 0.250 0.185 0.693
La2 La 0.250 0.315 0.193
La3 La 0.750 0.685 0.193
La4 La 0.750 0.815 0.693
Ni1 Ni 0.750 0.446 0.496
Ni2 Ni 0.500 0.000 0.298
Ni3 Ni 0.500 0.500 0.798
Ni4 Ni 0.000 0.500 0.798
Ni5 Ni 0.000 0.000 0.298
Ni6 Ni 0.250 0.946 0.996
Ni7 Ni 0.250 0.554 0.496
Ni8 Ni 0.750 0.054 0.996
S1 S 0.750 0.185 0.444
S2 S 0.250 0.815 0.444
S3 S 0.750 0.315 0.944
S4 S 0.250 0.685 0.944
```

---

Entry 10:
This record from Alexandria describes crystalline KVCuSe3 at its relaxed geometry. The functional is PBE.

Results
- Fermi-level density of states: 6.59 states/eV per cell
- SG: P2_1/m, No. 11
- Spin magnetization: 1.04 μB/f.u.
- Uncorrected formation energy: -0.731 eV per atom

Geometry as CIF:
```
data_KVCuSe3
_chemical_formula_sum 'K2 V2 Cu2 Se6'
_space_group_name_H-M_alt 'P 1'
_space_group_IT_number 1
_cell_length_a 3.772
_cell_length_b 8.414
_cell_length_c 9.636
_cell_angle_alpha 113.84
_cell_angle_beta 90.00
_cell_angle_gamma 90.00
loop_
_space_group_symop_operation_xyz
'x,y,z'
loop_
_atom_site_label
_atom_site_type_symbol
_atom_site_fract_x
_atom_site_fract_y
_atom_site_fract_z
K1 K 0.250 0.243 0.261
K2 K 0.750 0.757 0.739
Cu1 Cu 0.250 0.082 0.603
Cu2 Cu 0.750 0.918 0.397
Se1 Se 0.250 0.531 0.873
Se2 Se 0.750 0.884 0.139
Se3 Se 0.250 0.756 0.442
Se4 Se 0.750 0.469 0.127
Se5 Se 0.250 0.116 0.861
Se6 Se 0.750 0.244 0.558
V1 V 0.750 0.304 0.832
V2 V 0.250 0.696 0.168
```

---

Entry 11:
This record from Alexandria describes crystalline PaVCu at its relaxed geometry. The functional is PBE.

Results
- Fermi-level density of states: 5.23 states/eV per cell
- SG: I4mm, No. 107
- VASP energy: -22.06 eV/cell
- Spin magnetization: 0.00 μB/f.u.

Geometry as CIF:
```
data_PaVCu
_chemical_formula_sum 'Pa1 V1 Cu1'
_space_group_name_H-M_alt 'P 1'
_space_group_IT_number 1
_cell_length_a 4.148
_cell_length_b 2.935
_cell_length_c 6.344
_cell_angle_alpha 76.65
_cell_angle_beta 70.92
_cell_angle_gamma 45.04
loop_
_space_group_symop_operation_xyz
'x,y,z'
loop_
_atom_site_label
_atom_site_type_symbol
_atom_site_fract_x
_atom_site_fract_y
_atom_site_fract_z
V1 V 0.685 0.000 0.631
Cu1 Cu 0.313 0.000 0.374
Pa1 Pa 0.002 0.000 0.995
```

---

Entry 12:
This record from Alexandria describes crystalline Pm6Al2N at its relaxed geometry. The functional is PBE.

Results
- Fermi-level density of states: 15.34 states/eV per cell
- SG: Fm-3m, No. 225
- Spin magnetization: 0.00 μB/f.u.
- Uncorrected formation energy: -0.462 eV per atom

Geometry as CIF:
```
data_Pm6Al2N
_chemical_formula_sum 'Pm12 Al4 N2'
_space_group_name_H-M_alt 'P 1'
_space_group_IT_number 1
_cell_length_a 7.001
_cell_length_b 7.002
_cell_length_c 9.897
_cell_angle_alpha 90.00
_cell_angle_beta 90.02
_cell_angle_gamma 90.00
loop_
_space_group_symop_operation_xyz
'x,y,z'
loop_
_atom_site_label
_atom_site_type_symbol
_atom_site_fract_x
_atom_site_fract_y
_atom_site_fract_z
N1 N 0.000 0.000 0.500
N2 N 0.500 0.500 0.000
Pm1 Pm 0.255 0.255 0.000
Pm2 Pm 0.500 0.500 0.754
Pm3 Pm 0.000 0.000 0.746
Pm4 Pm 0.500 0.500 0.246
Pm5 Pm 0.755 0.245 0.500
Pm6 Pm 0.755 0.755 0.500
Pm7 Pm 0.245 0.245 0.500
Pm8 Pm 0.745 0.745 0.000
Pm9 Pm 0.745 0.255 0.000
Pm10 Pm 0.255 0.745 0.000
Pm11 Pm 0.245 0.755 0.500
Pm12 Pm 0.000 0.000 0.254
Al1 Al 0.500 0.000 0.250
Al2 Al 0.000 0.500 0.750
Al3 Al 0.000 0.500 0.250
Al4 Al 0.500 0.000 0.750
```